1.
# HfTi2Te

An optimized crystal structure of HfTi2Te (PBE, Alexandria via LeMat-Bulk).

Cell lengths 7.108, 3.791, 11.739 Å; angles 90.00, 90.00, 90.00 degrees
Fractional positions:
Hf 0.239 0.250 0.177
Hf 0.261 0.750 0.677
Hf 0.739 0.250 0.323
Hf 0.761 0.750 0.823
Ti 0.042 0.750 0.416
Ti 0.176 0.750 0.987
Ti 0.324 0.250 0.487
Ti 0.458 0.250 0.916
Ti 0.542 0.750 0.084
Ti 0.676 0.750 0.513
Ti 0.824 0.250 0.013
Ti 0.958 0.250 0.584
Te 0.074 0.250 0.824
Te 0.426 0.750 0.324
Te 0.574 0.250 0.676
Te 0.926 0.750 0.176

Results
Formation energy without anion corrections in eV per atom: -0.357

2.
# UTe6Pd5

An optimized crystal structure of UTe6Pd5 (PBE, Alexandria via LeMat-Bulk).

Cell lengths 6.943, 6.943, 7.002 Å; angles 99.41, 99.41, 119.30 degrees
Fractional positions:
U 0.000 0.000 0.000
Te 0.089 0.447 0.260
Te 0.273 0.273 0.742
Te 0.447 0.089 0.260
Te 0.553 0.911 0.740
Te 0.727 0.727 0.258
Te 0.911 0.553 0.740
Pd 0.151 0.849 0.500
Pd 0.331 0.669 0.000
Pd 0.500 0.500 0.500
Pd 0.669 0.331 0.000
Pd 0.849 0.151 0.500

Results
Formation energy without anion corrections in eV per atom: -0.343

3.
# VFe2RhN

An optimized crystal structure of VFe2RhN (PBE, Alexandria via LeMat-Bulk).

Cell lengths 3.825, 3.825, 3.918 Å; angles 90.00, 90.00, 90.00 degrees
Fractional positions:
V 0.000 0.000 0.000
Fe 0.000 0.500 0.500
Fe 0.500 0.000 0.500
Rh 0.500 0.500 0.000
N 0.000 0.000 0.500

Results
Formation energy without anion corrections in eV per atom: -0.303

> Among the records above, which one has the highest formation energy without anion corrections?

VFe2RhN

Copy entry 2 word for word.
# UTe6Pd5

An optimized crystal structure of UTe6Pd5 (PBE, Alexandria via LeMat-Bulk).

Cell lengths 6.943, 6.943, 7.002 Å; angles 99.41, 99.41, 119.30 degrees
Fractional positions:
U 0.000 0.000 0.000
Te 0.089 0.447 0.260
Te 0.273 0.273 0.742
Te 0.447 0.089 0.260
Te 0.553 0.911 0.740
Te 0.727 0.727 0.258
Te 0.911 0.553 0.740
Pd 0.151 0.849 0.500
Pd 0.331 0.669 0.000
Pd 0.500 0.500 0.500
Pd 0.669 0.331 0.000
Pd 0.849 0.151 0.500

Results
Formation energy without anion corrections in eV per atom: -0.343

> Among the records above, which one has the highest formation energy without anion corrections?

VFe2RhN

> Which value of formation energy without anion corrections does entry 1 give?

-0.357 eV per atom